Here is Na2FeF after structural relaxation from the Alexandria database. Energies are from PBE with a Hubbard U.

extended XYZ file:
```
8
Lattice="-3.4064 3.4064 4.3804 3.4064 -3.4064 4.3804 3.4064 3.4064 -4.3804" Properties=species:S:1:pos:R:3 pbc="T T T"
Na -0.7779 1.7032 1.0951
Na 1.7032 2.6285 3.2853
Na 0.7779 5.1096 1.0951
Na -1.7032 4.1843 3.2853
Fe 3.4064 0.0000 2.1902
Fe 0.0000 0.0000 4.3804
F 0.0000 0.0000 0.0000
F 0.0000 3.4064 2.1902
```

Computed properties:
Distance to the lowest polymorph of the same formula, eV per atom: 0.000
DOS(E_F), states/eV per atom: 0.66
Crystal system: tetragonal
SG: I-42d